A geometry-optimized Sr2ZnCdSe2O2 structure, computed with PBE.

Cell lengths 4.0714, 4.0714, 12.2870 Å; angles 90.00, 90.00, 120.00 degrees
Last column: nearest neighbours and their distance in Å.
Space group P3m1 (No. 156)
One atom of each set of equivalent atoms:
Sr 0.0000 0.0000 0.0000 (multiplicity 1)  3 O 2.45
Sr 0.3333 0.6667 0.5211 (multiplicity 1)  3 O 2.45
Zn 0.6667 0.3333 0.7322 (multiplicity 1)  1 O 1.91
Cd 0.6667 0.3333 0.2326 (multiplicity 1)  1 O 2.16
Se 0.0000 0.0000 0.3327 (multiplicity 1)  3 Cd 2.65
Se 0.3333 0.6667 0.8088 (multiplicity 1)  3 Zn 2.53
O 0.6667 0.3333 0.0571 (multiplicity 1)  1 Cd 2.16
O 0.6667 0.3333 0.5767 (multiplicity 1)  1 Zn 1.91

Output
Final energy (eV per atom): -4.531
Density (g/cm3): 5.1